No. 1
# CuBPt3

A geometry-optimized CuBPt3 structure (PBE-GGA, the Alexandria database).

Cell and atoms, written as POSCAR:
```
CuBPt3
1.0
4.5629 0.0000 0.0000
0.0000 4.5629 0.0000
0.0000 0.0000 4.5629
B Pt Cu
1 3 1
Direct
0.5000 0.5000 0.5000
0.5000 0.0000 0.0000
0.0000 0.5000 0.0000
0.0000 0.0000 0.5000
0.0000 0.0000 0.0000
```

Calculated values
Final energy in eV per cell: -19.82
Formation enthalpy at 0 K in eV/atom: 1.81

No. 2
# MgAgClF2

A geometry-optimized MgAgClF2 structure (PBE-GGA, the Alexandria database).

Cell and atoms, written as POSCAR:
```
MgAgClF2
1.0
-1.2445 -2.0603 3.0429
-2.2258 -2.1338 -2.3550
4.0916 -3.4997 -0.6962
Mg F Cl Ag
1 2 1 1
Direct
0.0000 0.0000 0.0000
0.0000 0.5000 0.0000
0.5000 0.0000 0.0000
0.0000 0.0000 0.5000
0.5000 0.5000 0.5000
```

Calculated values
ΔE_f (raw) in kJ/mol of formula units: -1023
Final energy in eV per cell: -20.64

No. 3
# PmCuSiRh

A geometry-optimized PmCuSiRh structure (PBE-GGA, the Alexandria database).

Cell and atoms, written as POSCAR:
```
PmCuSiRh
1.0
4.6064 0.0000 0.0000
2.3032 3.9893 0.0000
2.3032 1.3298 3.7611
Cu Pm Rh Si
1 1 1 1
Direct
0.7500 0.7500 0.7500
0.0000 0.0000 0.0000
0.2500 0.2500 0.2500
0.5000 0.5000 0.5000
```

Calculated values
ΔE_f (raw) in kJ/mol of formula units: -129
Final energy in eV per cell: -22.96

No. 4
# La3Ir

A geometry-optimized La3Ir structure (PBE-GGA, the Alexandria database).

Cell and atoms, written as POSCAR:
```
La3Ir
1.0
3.5500 0.0000 0.0000
1.1833 5.9211 0.0000
1.1833 -2.9606 5.1278
La Ir
3 1
Direct
0.5000 0.5000 0.0000
0.5000 0.0000 0.5000
0.0000 0.5000 0.5000
0.0000 0.0000 0.0000
```

Calculated values
Final energy in eV per cell: -23.54
Formation enthalpy at 0 K in eV/atom: 0.03

No. 5
# Pr4Nd4Ho

A geometry-optimized Pr4Nd4Ho structure (PBE-GGA, the Alexandria database).

Cell and atoms, written as POSCAR:
```
Pr4Nd4Ho
1.0
5.2068 0.0000 0.0000
2.6034 7.8065 0.0000
2.6034 0.0000 7.8065
Nd Pr Ho
4 4 1
Direct
0.3345 0.0000 0.3309
0.6655 0.0000 0.6691
0.6655 0.6691 0.0000
0.3345 0.3309 0.0000
0.6684 0.3316 0.3316
0.0000 0.3316 0.6684
0.3316 0.6684 0.6684
0.0000 0.6684 0.3316
0.0000 0.0000 0.0000
```

Calculated values
Final energy in eV per cell: -42.63
Formation enthalpy at 0 K in eV/atom: 0.01

No. 6
# CeTi2Nb

A geometry-optimized CeTi2Nb structure (PBE-GGA, the Alexandria database).

Cell and atoms, written as POSCAR:
```
CeTi2Nb
1.0
3.3948 0.0000 0.0000
0.0000 3.3948 0.0000
0.0000 0.0000 7.0193
Nb Ce Ti
1 1 2
Direct
0.5000 0.5000 0.0000
0.5000 0.5000 0.5000
0.0000 0.0000 0.2057
0.0000 0.0000 0.7943
```

Calculated values
Final energy in eV per cell: -31.33
Formation enthalpy at 0 K in eV/atom: 0.11

No. 7
# CaLaGd2

A geometry-optimized CaLaGd2 structure (PBE-GGA, the Alexandria database).

Cell and atoms, written as POSCAR:
```
CaLaGd2
1.0
-2.5041 -3.7086 -2.6976
0.8826 -3.3950 3.8482
-4.4841 1.3886 2.2536
Ca La Gd
1 1 2
Direct
0.5000 0.0000 0.0000
0.5000 0.5000 0.5000
0.0000 0.5000 0.0000
0.0000 0.0000 0.5000
```

Calculated values
Final energy in eV per cell: -34.69
Formation enthalpy at 0 K in eV/atom: 0.10

No. 8
# Rb2PrZn3F12

A geometry-optimized Rb2PrZn3F12 structure (PBE-GGA, the Alexandria database).

Cell and atoms, written as POSCAR:
```
Rb2PrZn3F12
1.0
7.2222 -0.2221 -0.1575
3.3736 6.3897 -0.1575
3.3736 1.9637 6.0825
F Zn Rb Pr
12 3 2 1
Direct
0.7244 0.0997 0.7244
0.2756 0.9003 0.2756
0.1204 0.1204 0.6112
0.2756 0.2756 0.9003
0.1204 0.6112 0.1204
0.6112 0.1204 0.1204
0.7244 0.7244 0.0997
0.9003 0.2756 0.2756
0.8796 0.8796 0.3888
0.3888 0.8796 0.8796
0.0997 0.7244 0.7244
0.8796 0.3888 0.8796
0.0000 0.0000 0.5000
0.5000 0.0000 0.0000
0.0000 0.5000 0.0000
0.6126 0.6126 0.6126
0.3874 0.3874 0.3874
0.0000 0.0000 0.0000
```

Calculated values
ΔE_f (raw) in kJ/mol of formula units: -4670
Final energy in eV per cell: -81.40

> Which value of final energy does entry 3 give?

-22.96 eV per cell

> What is the final energy in the second record?

-20.64 eV per cell

> Among the records above, which one has the highest final energy?

CuBPt3

> Look up the final energy of the first one.

-19.82 eV per cell